No. 1
AcAg3Br6 | GGA-PBE | relaxed

As for the uncorrected formation energy: -9.42 eV/f.u. As for the space-group type: No. 2.

abc: 8.265 8.269 8.395
angles: 92.40 118.97 117.68
Element x y z (fractional)
Ac (0.000, 0.000, 0.000)
Ag (0.000, 0.500, 0.000)
Ag (0.000, 0.500, 0.500)
Ag (0.500, 0.000, 0.000)
Br (0.004, 0.721, 0.228)
Br (0.036, 0.260, 0.295)
Br (0.492, 0.773, 0.775)
Br (0.508, 0.227, 0.225)
Br (0.964, 0.740, 0.705)
Br (0.996, 0.279, 0.772)

***

No. 2
Ac2AgBr | GGA-PBE | relaxed

As for the uncorrected formation energy: -2.84 eV/f.u. As for the space-group type: No. 166. The offset from the most stable computed form is 0.000 eV per atom.

abc: 7.829 7.829 7.829
angles: 34.82 34.82 34.82
Element x y z (fractional)
Ac (0.246, 0.246, 0.246)
Ac (0.754, 0.754, 0.754)
Ag (0.500, 0.500, 0.500)
Br (0.000, 0.000, 0.000)